DFT (GGA+U) results for a geometry-optimized Li3Co2Si2O8 structure.

CIF file:
```
data_Li3Co2Si2O8
_cell_length_a 5.044
_cell_length_b 5.339
_cell_length_c 6.446
_cell_angle_alpha 89.78
_cell_angle_beta 89.56
_cell_angle_gamma 89.57
_symmetry_space_group_name_H-M 'P 1'
_symmetry_Int_Tables_number 1
_symmetry_space_group_name_Hall 'P 1'
loop_
_atom_site_label
_atom_site_type_symbol
_atom_site_fract_x
_atom_site_fract_y
_atom_site_fract_z
Li1 Li 0.000 0.000 0.000
Li2 Li 0.013 0.526 0.740
Li3 Li 0.505 0.351 0.491
Co1 Co 0.508 0.353 0.997
Co2 Co 0.998 0.005 0.484
Si1 Si 0.007 0.505 0.245
Si2 Si 0.493 0.867 0.749
O1 O 0.068 0.801 0.240
O2 O 0.113 0.368 0.459
O3 O 0.132 0.369 0.028
O4 O 0.167 0.867 0.744
O5 O 0.597 0.021 0.957
O6 O 0.601 0.569 0.770
O7 O 0.616 0.006 0.547
O8 O 0.683 0.450 0.233
```

Computed properties:
Its total magnetic moment is 7.0 μB per formula unit. As for the energy relative to the lowest polymorph listed for this composition: 0.003 eV/atom. The raw total energy is -6.502 eV per atom. The calculation puts the volume at 11.6 A^3/atom.